1.
Computed, not measured: TbHoH after structural relaxation at the PBE level of DFT.

volume: 21.34 A^3/atom
polymorph energy (0 for the lowest one): 200 meV per atom
SG: C2/m, No. 12

Cell: 5.9088 3.3198 6.7369 Å, 104.26 88.65 90.00°
With the nearest neighbours (Å) after each atom.
Fractional coordinates of all 6 atoms:
H 0.5893 0.4221 0.8441  1 H 2.27, 2 Ho 2.46, 2 Tb 2.51
H 0.4107 0.5779 0.1559  1 H 2.27, 2 Ho 2.46, 2 Tb 2.51
Tb 0.7289 0.0698 0.1396  4 H 2.51-2.69
Tb 0.2711 0.9302 0.8604  4 H 2.51-2.69
Ho 0.7689 0.8078 0.6157  2 H 2.46
Ho 0.2311 0.1922 0.3843  2 H 2.46

2.
Computed, not measured: Ba3CoN3 after structural relaxation at the PBE level of DFT.

volume: 21.31 A^3/atom
polymorph energy (0 for the lowest one): 83 meV per atom
formation energy from raw total energies: -0.3352 eV/atom
SG: Cmcm, No. 63

Cell: 5.8415 7.2189 7.2118 Å, 101.23 90.00 90.00°
With the nearest neighbours (Å) after each atom.
Fractional coordinates of all 14 atoms:
Ba 0.7500 0.5851 0.8294  4 N 2.68-2.95
Ba 0.7500 0.1088 0.8911  3 N 2.63-2.93
Ba 0.7500 0.1700 0.4145  4 N 2.68-2.95
Ba 0.2500 0.4149 0.1706  4 N 2.68-2.95
Ba 0.2500 0.8912 0.1089  3 N 2.63-2.93
Ba 0.2500 0.8300 0.5855  4 N 2.68-2.95
Co 0.2500 0.2921 0.7079  3 N 1.77-1.84
Co 0.7500 0.7079 0.2921  3 N 1.77-1.84
N 0.2500 0.5315 0.8248  1 Co 1.77
N 0.2500 0.1271 0.8734  1 Co 1.84
N 0.2500 0.1749 0.4684  1 Co 1.77
N 0.7500 0.4685 0.1752  1 Co 1.77
N 0.7500 0.8729 0.1266  1 Co 1.84
N 0.7500 0.8251 0.5316  1 Co 1.77

3.
Computed, not measured: Ac5La2Pr after structural relaxation at the PBE level of DFT.

volume: 42.33 A^3/atom
SG: Cmcm, No. 63
total DFT energy (no corrections): -4.30 eV per atom

Cell: 5.8440 6.9907 18.2509 Å, 90.00 90.00 114.71°
With the nearest neighbours (Å) after each atom.
Fractional coordinates of all 16 atoms:
Ac 0.9467 0.8935 0.9007  1 Pr 3.55, 1 La 3.86, 3 Ac 3.87-3.97
Ac 0.9467 0.8935 0.5993  1 Pr 3.55, 1 La 3.86, 3 Ac 3.87-3.97
Ac 0.3577 0.7155 0.4565  3 La 3.68-3.71, 6 Ac 3.95-4.08, 1 Pr 4.10
Ac 0.3577 0.7155 0.0435  3 La 3.68-3.71, 6 Ac 3.95-4.08, 1 Pr 4.10
Ac 0.5063 0.0125 0.2500  1 Pr 3.51, 2 La 3.72
Ac 0.4937 0.9875 0.7500  1 Pr 3.51, 2 La 3.72
Ac 0.6423 0.2845 0.5435  3 La 3.68-3.71, 6 Ac 3.95-4.08, 1 Pr 4.10
Ac 0.6423 0.2845 0.9565  3 La 3.68-3.71, 6 Ac 3.95-4.08, 1 Pr 4.10
Ac 0.0533 0.1065 0.0993  1 Pr 3.55, 1 La 3.86, 3 Ac 3.87-3.97
Ac 0.0533 0.1065 0.4007  1 Pr 3.55, 1 La 3.86, 3 Ac 3.87-3.97
La 0.7560 0.5119 0.3562  2 Pr 3.52, 5 Ac 3.68-3.86, 1 La 3.88
La 0.7560 0.5119 0.1438  2 Pr 3.52, 5 Ac 3.68-3.86, 1 La 3.88
La 0.2440 0.4881 0.6438  2 Pr 3.52, 5 Ac 3.68-3.86, 1 La 3.88
La 0.2440 0.4881 0.8562  2 Pr 3.52, 5 Ac 3.68-3.86, 1 La 3.88
Pr 0.7700 0.5401 0.7500  3 Ac 3.51-3.55, 4 La 3.52
Pr 0.2300 0.4599 0.2500  3 Ac 3.51-3.55, 4 La 3.52

4.
Computed, not measured: ScAg2Mo after structural relaxation at the PBE level of DFT.

volume: 17.68 A^3/atom
polymorph energy (0 for the lowest one): 104 meV per atom
SG: C2/m, No. 12

Cell: 5.2630 5.2630 2.8168 Å, 90.10 90.10 114.96°
With the nearest neighbours (Å) after each atom.
Fractional coordinates of all 4 atoms:
Ag 0.0000 0.0000 0.0000  4 Ag 2.82-2.83, 4 Sc 2.98-2.99, 4 Mo 2.98-2.99
Ag 0.5000 0.5000 0.0000  4 Ag 2.82-2.83, 4 Mo 2.98-2.99, 4 Sc 2.98-2.99
Mo 0.5000 0.0000 0.5000  2 Mo 2.82, 2 Sc 2.83, 8 Ag 2.98-2.99
Sc 0.0000 0.5000 0.5000  2 Sc 2.82, 2 Mo 2.83, 8 Ag 2.98-2.99

5.
Computed, not measured: NbReAs2 after structural relaxation at the PBE level of DFT.

volume: 15.62 A^3/atom
polymorph energy (0 for the lowest one): 0 meV per atom
SG: Fm-3m, No. 225

Cell: 4.4540 4.4540 4.4540 Å, 60.00 60.00 60.00°
With the nearest neighbours (Å) after each atom.
Fractional coordinates of all 4 atoms:
Re 0.5000 0.5000 0.5000  8 As 2.73
Nb 0.0000 0.0000 0.0000  8 As 2.73
As 0.2500 0.2500 0.2500  4 Re 2.73, 4 Nb 2.73
As 0.7500 0.7500 0.7500  4 Re 2.73, 4 Nb 2.73

6.
Computed, not measured: Ba3LiMn2S6 after structural relaxation at the PBE level of DFT.

volume: 29.21 A^3/atom
formation energy from raw total energies: -1.1887 eV/atom
SG: P-3m1, No. 164

Cell: 7.1256 7.1256 7.9723 Å, 90.00 90.00 120.00°
With the nearest neighbours (Å) after each atom.
Fractional coordinates of all 12 atoms:
Ba 0.3333 0.6667 0.6274  9 S 3.36-3.61, 1 Mn 3.40
Ba 0.6667 0.3333 0.3726  9 S 3.36-3.61, 1 Mn 3.40
Ba 0.0000 0.0000 0.0000  6 S 3.12
Li 0.0000 0.0000 0.5000  6 S 2.60
Mn 0.6667 0.3333 0.7993  3 S 2.21
Mn 0.3333 0.6667 0.2007  3 S 2.21
S 0.6699 0.8350 0.2969  1 Mn 2.21
S 0.1650 0.3301 0.2969  1 Mn 2.21
S 0.1650 0.8350 0.2969  1 Mn 2.21
S 0.8350 0.6699 0.7031  1 Mn 2.21
S 0.3301 0.1650 0.7031  1 Mn 2.21
S 0.8350 0.1650 0.7031  1 Mn 2.21

7.
Computed, not measured: In2Fe2Se after structural relaxation at the PBE level of DFT.

volume: 19.15 A^3/atom
polymorph energy (0 for the lowest one): 66 meV per atom
formation energy from raw total energies: 0.2557 eV/atom
SG: I4/mmm, No. 139

Cell: 3.4750 3.4750 8.3027 Å, 77.92 77.92 90.00°
With the nearest neighbours (Å) after each atom.
Fractional coordinates of all 5 atoms:
Fe 0.7500 0.2500 0.5000  4 Fe 2.46
Fe 0.2500 0.7500 0.5000  4 Fe 2.46
Se 0.0000 0.0000 0.0000  8 In 3.03
In 0.3887 0.3887 0.2226  4 Fe 2.80, 4 Se 3.03
In 0.6113 0.6113 0.7774  4 Fe 2.80, 4 Se 3.03

8.
Computed, not measured: Pm2Tl2TeO6 after structural relaxation at the PBE level of DFT.

volume: 19.52 A^3/atom
formation energy from raw total energies: -1.8733 eV/atom
SG: C2/m, No. 12

Cell: 6.1386 6.1386 6.8431 Å, 98.23 98.23 119.69°
With the nearest neighbours (Å) after each atom.
Fractional coordinates of all 11 atoms:
Pm 0.3344 0.6656 0.5000  6 O 2.36-2.40
Pm 0.6656 0.3344 0.5000  6 O 2.36-2.40
Tl 0.8357 0.1643 0.0000  6 O 2.92-3.09
Tl 0.1643 0.8357 0.0000  6 O 2.92-3.09
Te 0.0000 0.0000 0.5000  6 O 2.22-2.24
O 0.7445 0.7445 0.6727  1 Te 2.22, 2 Pm 2.40
O 0.0505 0.3697 0.6677  1 Te 2.24, 2 Pm 2.36-2.38
O 0.2555 0.2555 0.3273  1 Te 2.22, 2 Pm 2.40
O 0.3697 0.0505 0.6677  1 Te 2.24, 2 Pm 2.36-2.38
O 0.9495 0.6303 0.3323  1 Te 2.24, 2 Pm 2.36-2.38
O 0.6303 0.9495 0.3323  1 Te 2.24, 2 Pm 2.36-2.38

9.
Computed, not measured: Sc3SiAg after structural relaxation at the PBE level of DFT.

volume: 25.17 A^3/atom
polymorph energy (0 for the lowest one): 0 meV per atom
formation energy from raw total energies: 0.0255 eV/atom
SG: Pm-3m, No. 221

Cell: 5.0111 5.0111 5.0111 Å, 90.00 90.00 90.00°
With the nearest neighbours (Å) after each atom.
Fractional coordinates of all 5 atoms:
Sc 0.0000 0.5000 0.0000  2 Si 2.51
Sc 0.0000 0.0000 0.5000  2 Si 2.51
Sc 0.5000 0.0000 0.0000  2 Si 2.51
Si 0.0000 0.0000 0.0000  6 Sc 2.51
Ag 0.5000 0.5000 0.5000  12 Sc 3.54

10.
Computed, not measured: CeNd6In after structural relaxation at the PBE level of DFT.

volume: 32.51 A^3/atom
SG: P4/mmm, No. 123
total DFT energy (no corrections): -4.75 eV per atom

Cell: 5.0178 5.0178 10.3296 Å, 90.00 90.00 90.00°
With the nearest neighbours (Å) after each atom.
Fractional coordinates of all 8 atoms:
Ce 0.0000 0.0000 0.5000  12 Nd 3.55-3.64
Nd 0.5000 0.5000 0.0000  4 In 3.55, 8 Nd 3.56
Nd 0.5000 0.5000 0.5000  4 Ce 3.55, 8 Nd 3.64
Nd 0.5000 0.0000 0.2449  8 Nd 3.55-3.64, 2 In 3.56, 2 Ce 3.64
Nd 0.5000 0.0000 0.7551  8 Nd 3.55-3.64, 2 In 3.56, 2 Ce 3.64
Nd 0.0000 0.5000 0.2449  8 Nd 3.55-3.64, 2 In 3.56, 2 Ce 3.64
Nd 0.0000 0.5000 0.7551  8 Nd 3.55-3.64, 2 In 3.56, 2 Ce 3.64
In 0.0000 0.0000 0.0000  12 Nd 3.55-3.56

11.
Computed, not measured: TbZn2Cu3 after structural relaxation at the PBE level of DFT.

volume: 16.34 A^3/atom
SG: Cmcm, No. 63
total DFT energy (no corrections): -3.44 eV per atom

Cell: 5.0187 6.2685 6.2685 Å, 96.09 90.00 90.00°
With the nearest neighbours (Å) after each atom.
Fractional coordinates of all 12 atoms:
Tb 0.2500 0.3063 0.3063  9 Cu 3.02-3.28, 4 Zn 3.24
Tb 0.7500 0.6937 0.6937  9 Cu 3.02-3.28, 4 Zn 3.24
Zn 0.5000 0.7692 0.2308  6 Cu 2.47-2.62, 2 Zn 2.51
Zn 0.0000 0.7692 0.2308  6 Cu 2.47-2.62, 2 Zn 2.51
Zn 0.0000 0.2308 0.7692  6 Cu 2.47-2.62, 2 Zn 2.51
Zn 0.5000 0.2308 0.7692  6 Cu 2.47-2.62, 2 Zn 2.51
Cu 0.7500 0.4442 0.0912  1 Cu 2.43, 4 Zn 2.47-2.62
Cu 0.7500 0.0912 0.4442  1 Cu 2.43, 4 Zn 2.47-2.62
Cu 0.2500 0.5558 0.9088  1 Cu 2.43, 4 Zn 2.47-2.62
Cu 0.7500 0.0541 0.0541  4 Cu 2.43-2.67, 4 Zn 2.53
Cu 0.2500 0.9459 0.9459  4 Cu 2.43-2.67, 4 Zn 2.53
Cu 0.2500 0.9088 0.5558  1 Cu 2.43, 4 Zn 2.47-2.62

12.
Computed, not measured: Ca3ZrSn after structural relaxation at the PBE level of DFT.

volume: 40.80 A^3/atom
polymorph energy (0 for the lowest one): 0 meV per atom
SG: Pm-3m, No. 221

Cell: 5.8870 5.8870 5.8870 Å, 90.00 90.00 90.00°
With the nearest neighbours (Å) after each atom.
Fractional coordinates of all 5 atoms:
Ca 0.0000 0.5000 0.0000  2 Sn 2.94
Ca 0.0000 0.0000 0.5000  2 Sn 2.94
Ca 0.5000 0.0000 0.0000  2 Sn 2.94
Sn 0.0000 0.0000 0.0000  6 Ca 2.94
Zr 0.5000 0.5000 0.5000  12 Ca 4.16

13.
Computed, not measured: Ca2Ga3IrPt4 after structural relaxation at the PBE level of DFT.

volume: 18.87 A^3/atom
SG: P-4m2, No. 115
total DFT energy (no corrections): -5.34 eV per atom

Cell: 4.1122 4.1122 11.1577 Å, 90.00 90.00 90.00°
With the nearest neighbours (Å) after each atom.
Fractional coordinates of all 10 atoms:
Ca 0.5000 0.0000 0.2561  4 Pt 3.10, 6 Ga 3.21-3.41, 2 Ir 3.41
Ca 0.0000 0.5000 0.7439  4 Pt 3.10, 6 Ga 3.21-3.41, 2 Ir 3.41
Ga 0.0000 0.0000 0.5000  4 Pt 2.63, 4 Ir 2.91
Ga 0.5000 0.0000 0.8662  5 Pt 2.44-2.54
Ga 0.0000 0.5000 0.1338  5 Pt 2.44-2.54
Ir 0.5000 0.5000 0.5000  4 Pt 2.63, 4 Ga 2.91
Pt 0.5000 0.5000 0.0000  4 Ga 2.54
Pt 0.0000 0.0000 0.0000  4 Ga 2.54
Pt 0.5000 0.0000 0.6477  3 Ga 2.44-2.63, 2 Ir 2.63
Pt 0.0000 0.5000 0.3523  3 Ga 2.44-2.63, 2 Ir 2.63

14.
Computed, not measured: PmPr6Sm4 after structural relaxation at the PBE level of DFT.

volume: 36.09 A^3/atom
polymorph energy (0 for the lowest one): 0 meV per atom
SG: I-42m, No. 121

Cell: 10.0737 10.0737 10.0737 Å, 55.92 141.28 141.28°
With the nearest neighbours (Å) after each atom.
Fractional coordinates of all 11 atoms:
Pm 0.0000 0.0000 0.0000  4 Pr 3.34, 4 Sm 3.64
Pr 0.0000 0.8116 0.4529  5 Sm 3.37-3.61, 3 Pr 3.39-3.40
Pr 0.0000 0.4529 0.8116  5 Sm 3.37-3.61, 3 Pr 3.39-3.40
Pr 0.3587 0.5471 0.5471  5 Sm 3.37-3.61, 3 Pr 3.39-3.40
Pr 0.5000 0.5000 0.0000  2 Pm 3.34, 4 Pr 3.40
Pr 0.6413 0.1884 0.1884  5 Sm 3.37-3.61, 3 Pr 3.39-3.40
Pr 0.5000 0.0000 0.5000  2 Pm 3.34, 4 Pr 3.40
Sm 0.0000 0.6334 0.0098  5 Pr 3.37-3.61, 1 Sm 3.56, 1 Pm 3.64
Sm 0.3764 0.3666 0.3666  5 Pr 3.37-3.61, 1 Sm 3.56, 1 Pm 3.64
Sm 0.0000 0.0098 0.6334  5 Pr 3.37-3.61, 1 Sm 3.56, 1 Pm 3.64
Sm 0.6236 0.9902 0.9902  5 Pr 3.37-3.61, 1 Sm 3.56, 1 Pm 3.64

15.
Computed, not measured: TaAs2RhBr after structural relaxation at the PBE level of DFT.

volume: 22.27 A^3/atom
polymorph energy (0 for the lowest one): 179 meV per atom
formation energy from raw total energies: 0.9636 eV/atom
SG: P4/mmm, No. 123

Cell: 4.7617 4.7617 4.9110 Å, 90.00 90.00 90.00°
With the nearest neighbours (Å) after each atom.
Fractional coordinates of all 5 atoms:
As 0.0000 0.5000 0.0000  2 Rh 2.38
As 0.5000 0.0000 0.0000  2 Rh 2.38
Rh 0.0000 0.0000 0.0000  4 As 2.38, 2 Br 2.46
Br 0.0000 0.0000 0.5000  2 Rh 2.46
Ta 0.5000 0.5000 0.5000  4 Br 3.37, 8 As 3.42

16.
Computed, not measured: LaSmTm3 after structural relaxation at the PBE level of DFT.

volume: 32.56 A^3/atom
polymorph energy (0 for the lowest one): 0 meV per atom
SG: P-1, No. 2

Cell: 6.3130 9.6143 8.4836 Å, 119.08 111.78 109.16°
With the nearest neighbours (Å) after each atom.
Fractional coordinates of all 10 atoms:
La 0.5670 0.0513 0.2510  8 Tm 3.51-3.67, 1 La 3.54, 3 Sm 3.57-3.65
La 0.4330 0.9487 0.7490  8 Tm 3.51-3.67, 1 La 3.54, 3 Sm 3.57-3.65
Sm 0.0418 0.1564 0.7581  8 Tm 3.45-3.67, 3 La 3.57-3.65, 1 Sm 3.60
Sm 0.9582 0.8436 0.2419  8 Tm 3.45-3.67, 3 La 3.57-3.65, 1 Sm 3.60
Tm 0.7700 0.4527 0.2528  7 Tm 3.49-3.63, 3 La 3.51-3.64, 2 Sm 3.51-3.61
Tm 0.8265 0.7433 0.7438  7 Tm 3.44-3.63, 2 Sm 3.52-3.67, 3 La 3.57-3.66
Tm 0.3625 0.6447 0.2465  4 Sm 3.45-3.66, 6 Tm 3.51-3.62, 2 La 3.54-3.67
Tm 0.6375 0.3553 0.7535  4 Sm 3.45-3.66, 6 Tm 3.51-3.62, 2 La 3.54-3.67
Tm 0.2300 0.5473 0.7472  7 Tm 3.49-3.63, 3 La 3.51-3.64, 2 Sm 3.51-3.61
Tm 0.1735 0.2567 0.2562  7 Tm 3.44-3.63, 2 Sm 3.52-3.67, 3 La 3.57-3.66

17.
Computed, not measured: ZrBeCl2 after structural relaxation at the PBE level of DFT.

volume: 20.74 A^3/atom
polymorph energy (0 for the lowest one): 168 meV per atom
formation energy from raw total energies: -0.6337 eV/atom
SG: Cm, No. 8

Cell: 5.2010 5.2010 5.3641 Å, 104.03 104.03 36.24°
With the nearest neighbours (Å) after each atom.
Fractional coordinates of all 4 atoms:
Be 0.0344 0.0344 0.2582  1 Cl 2.02
Zr 0.5110 0.5110 0.6410  4 Cl 2.59-2.63, 2 Be 2.67
Cl 0.1524 0.1524 0.0013  1 Be 2.02
Cl 0.8022 0.8022 0.5996  2 Zr 2.59

18.
Computed, not measured: AgBi2H3Pd8 after structural relaxation at the PBE level of DFT.

volume: 14.90 A^3/atom
SG: R3m, No. 160
total DFT energy (no corrections): -4.51 eV per atom

Cell: 5.7622 5.7622 7.9830 Å, 68.84 68.84 60.00°
With the nearest neighbours (Å) after each atom.
Fractional coordinates of all 14 atoms:
Ag 0.8403 0.8403 0.4792  4 Pd 2.68-2.82
Bi 0.1589 0.1589 0.5233  4 Pd 2.73-2.75
Bi 0.5027 0.5027 0.4919  6 Pd 2.93
H 0.5032 0.9698 0.0238  4 Pd 1.92-2.01
H 0.9698 0.5032 0.0238  4 Pd 1.92-2.01
H 0.5032 0.5032 0.0238  4 Pd 1.92-2.01
Pd 0.2842 0.2842 0.1474  3 H 1.99
Pd 0.7171 0.7171 0.8486  3 H 2.01
Pd 0.2260 0.2260 0.8243  2 H 2.25
Pd 0.7238 0.2260 0.8243  2 H 2.25
Pd 0.2260 0.7238 0.8243  2 H 2.25
Pd 0.7826 0.2724 0.1624  2 H 1.92
Pd 0.2724 0.7826 0.1624  2 H 1.92
Pd 0.7826 0.7826 0.1624  2 H 1.92

19.
Computed, not measured: LiAc2Dy after structural relaxation at the PBE level of DFT.

volume: 35.98 A^3/atom
polymorph energy (0 for the lowest one): 0 meV per atom
SG: P4/mmm, No. 123

Cell: 3.9728 3.9728 9.1188 Å, 90.00 90.00 90.00°
With the nearest neighbours (Å) after each atom.
Fractional coordinates of all 4 atoms:
Ac 0.0000 0.0000 0.7682  4 Li 3.52, 4 Dy 3.72
Ac 0.0000 0.0000 0.2318  4 Li 3.52, 4 Dy 3.72
Li 0.5000 0.5000 0.0000  8 Ac 3.52
Dy 0.5000 0.5000 0.5000  8 Ac 3.72, 4 Dy 3.97

20.
Computed, not measured: CaFe2Hg after structural relaxation at the PBE level of DFT.

volume: 21.30 A^3/atom
SG: C2/m, No. 12
total DFT energy (no corrections): -4.48 eV per atom

Cell: 4.8637 4.8637 5.2868 Å, 69.18 69.18 47.69°
With the nearest neighbours (Å) after each atom.
Fractional coordinates of all 4 atoms:
Ca 0.2500 0.2500 0.2500  6 Fe 3.03-3.21, 4 Hg 3.29
Hg 0.7500 0.7500 0.7500  6 Fe 2.70-2.71
Fe 0.0247 0.0247 0.8511  2 Fe 2.36
Fe 0.4753 0.4753 0.6489  2 Fe 2.36